*i*
FeGe2H2: relaxed, PBE.

The structure in POSCAR format:
```
FeGe2H2
1.0
5.597 0.000 0.000
0.000 5.597 0.000
0.000 0.000 3.139
Fe Ge H
2 4 4
Direct
0.000 0.000 0.000
0.500 0.500 0.000
0.160 0.340 0.500
0.340 0.840 0.500
0.660 0.160 0.500
0.840 0.660 0.500
0.204 0.704 0.000
0.296 0.204 0.000
0.704 0.796 0.000
0.796 0.296 0.000
```

**ρ**: 6.861 g/cm³

---

*ii*
FeGe2H2: relaxed, PBE.

The structure in POSCAR format:
```
FeGe2H2
1.0
2.864 0.000 0.000
0.000 2.864 0.000
0.000 0.000 12.035
Fe Ge H
2 4 4
Direct
0.000 0.000 0.000
0.500 0.500 0.500
0.000 0.000 0.377
0.000 0.000 0.623
0.500 0.500 0.123
0.500 0.500 0.877
0.000 0.500 0.250
0.000 0.500 0.750
0.500 0.000 0.250
0.500 0.000 0.750
```

**ρ**: 6.835 g/cm³

---

*iii*
FeGe2H2: relaxed, PBE.

The structure in POSCAR format:
```
FeGe2H2
1.0
4.440 0.000 0.000
0.000 4.440 0.000
0.000 0.000 5.105
Fe Ge H
2 4 4
Direct
0.000 0.000 0.000
0.500 0.500 0.500
0.000 0.500 0.250
0.000 0.500 0.750
0.500 0.000 0.250
0.500 0.000 0.750
0.000 0.000 0.307
0.000 0.000 0.693
0.500 0.500 0.193
0.500 0.500 0.807
```

**ρ**: 6.704 g/cm³

---

Least stable of them? *i*.

---

*i*
FeGeH3: relaxed, PBE.

The structure in POSCAR format:
```
FeGeH3
1.0
3.330 0.000 0.000
0.000 3.330 0.000
0.000 0.000 3.330
Fe Ge H
1 1 3
Direct
0.000 0.000 0.000
0.500 0.500 0.500
0.000 0.000 0.500
0.000 0.500 0.000
0.500 0.000 0.000
```

**ρ**: 5.913 g/cm³

---

*ii*
FeGeH3: relaxed, PBE.

The structure in POSCAR format:
```
FeGeH3
1.0
3.587 0.000 0.000
0.000 3.587 0.000
0.000 0.000 3.587
Fe Ge H
1 1 3
Direct
0.000 0.000 0.000
0.500 0.500 0.500
0.000 0.500 0.500
0.500 0.000 0.500
0.500 0.500 0.000
```

**ρ**: 4.731 g/cm³

---

Least stable of them? *ii*.

---

*i*
Fe2Ge2H: relaxed, PBE.

The structure in POSCAR format:
```
Fe2Ge2H
1.0
5.474 0.000 0.000
0.000 5.474 0.000
0.000 0.000 3.746
Fe Ge H
4 4 2
Direct
0.164 0.336 0.000
0.336 0.836 0.000
0.664 0.164 0.000
0.836 0.664 0.000
0.161 0.661 0.500
0.339 0.161 0.500
0.661 0.839 0.500
0.839 0.339 0.500
0.000 0.000 0.000
0.500 0.500 0.000
```

**ρ**: 7.632 g/cm³

---

*ii*
Fe2Ge2H: relaxed, PBE.

The structure in POSCAR format:
```
Fe2Ge2H
1.0
3.668 0.000 0.000
0.000 3.668 0.000
0.000 0.000 10.531
Fe Ge H
4 4 2
Direct
0.000 0.000 0.104
0.000 0.000 0.896
0.500 0.500 0.396
0.500 0.500 0.604
0.000 0.500 0.250
0.000 0.500 0.750
0.500 0.000 0.250
0.500 0.000 0.750
0.000 0.000 0.500
0.500 0.500 0.000
```

**ρ**: 6.047 g/cm³

---

Least stable of them? *ii*.

---

*i*
Fe2GeHIr: relaxed, PBE.

The structure in POSCAR format:
```
Fe2GeHIr
1.0
3.710 0.000 0.000
0.000 3.710 0.000
0.000 0.000 3.960
Fe Ge H Ir
2 1 1 1
Direct
0.000 0.500 0.000
0.500 0.000 0.000
0.000 0.000 0.500
0.500 0.500 0.000
0.500 0.500 0.500
```

**ρ**: 11.504 g/cm³

---

*ii*
Fe2GeHIr: relaxed, PBE.

The structure in POSCAR format:
```
Fe2GeHIr
1.0
4.515 0.000 0.000
0.000 4.515 0.000
0.000 0.000 2.958
Fe Ge H Ir
2 1 1 1
Direct
0.000 0.500 0.000
0.500 0.000 0.000
0.000 0.000 0.000
0.000 0.000 0.500
0.500 0.500 0.500
```

**ρ**: 10.396 g/cm³

---

Least stable of them? *ii*.